1.
This record from Alexandria describes a geometry-optimized ZnFePb2 structure. The functional is PBE.

a b c (Å): 4.604 4.604 9.806
angles (deg): 76.42 76.42 90.00
Last column: magnetic moment on the atom in μB.
Positions (direct):
Pb 0.614 0.125 0.250  0.00
Pb 0.136 0.625 0.250  0.00
Pb 0.375 0.386 0.750  0.00
Pb 0.875 0.864 0.750  0.00
Zn 0.000 0.000 0.000  0.00
Zn 0.750 0.250 0.500  0.00
Fe 0.500 0.500 0.000  2.92
Fe 0.250 0.750 0.500  2.93

- Space-group type: I-42d (122)
- Formation energy: 0.616 eV per atom

2.
This record from Alexandria describes a geometry-optimized ZnFePb2 structure. The functional is PBE.

a b c (Å): 3.603 3.671 7.547
angles (deg): 60.95 90.00 90.00
Last column: magnetic moment on the atom in μB.
Positions (direct):
Fe 0.500 0.750 0.750  2.69
Pb 0.000 0.010 0.989  -0.04
Pb 0.000 0.490 0.511  -0.04
Zn 0.500 0.250 0.250  -0.01

- Space-group type: Pmmm (47)
- Formation energy: 0.448 eV per atom

Going through the records in order, we get D(E_F) values of 8.68, 2.86 states/eV/cell.
Going through the records in order, we get VASP energy values of -29.38, -15.36 eV for the cell shown.